(1)
A relaxed RbSbHI2 crystal, computed with GGA-PBEsol.

a = 5.9130 Å, b = 5.9130 Å, c = 4.0043 Å
α = 90.00°, β = 90.00°, γ = 90.00°
With the nearest neighbours (Å) after each atom.
Atoms (fractional coordinates):
Rb: 0.0000 0.0000 0.0000  8 I 3.57
Sb: 0.5000 0.5000 0.0000  2 H 2.00
H: 0.5000 0.5000 0.5000  2 Sb 2.00
I: 0.0000 0.5000 0.5000  2 H 2.96
I: 0.5000 0.0000 0.5000  2 H 2.96

## Properties
As for the space-group type: No. 123. The total magnetization comes out at 0.0 Bohr magnetons per cell. The final energy comes out at -2.7774 eV per atom.

(2)
A relaxed RbTeHI2 crystal, computed with GGA-PBEsol.

a = 6.0215 Å, b = 6.0215 Å, c = 3.9681 Å
α = 90.00°, β = 90.00°, γ = 90.00°
With the nearest neighbours (Å) after each atom.
Atoms (fractional coordinates):
Rb: 0.0000 0.0000 0.0000  8 I 3.61, 2 Rb 3.97
Te: 0.5000 0.5000 0.0000  2 H 1.98
H: 0.5000 0.5000 0.5000  2 Te 1.98
I: 0.0000 0.5000 0.5000  2 H 3.01
I: 0.5000 0.0000 0.5000  2 H 3.01

## Properties
As for the space-group type: No. 123. The total magnetization comes out at 0.0 Bohr magnetons per cell. The final energy comes out at -2.5535 eV per atom.

(3)
A relaxed ReH2I crystal, computed with GGA-PBEsol.

a = 4.0038 Å, b = 4.0038 Å, c = 4.0038 Å
α = 60.00°, β = 60.00°, γ = 60.00°
With the nearest neighbours (Å) after each atom.
Atoms (fractional coordinates):
Re: 0.0000 0.0000 0.0000  8 H 2.45
H: 0.2500 0.2500 0.2500  4 I 2.45, 4 Re 2.45
H: 0.7500 0.7500 0.7500  4 I 2.45, 4 Re 2.45
I: 0.5000 0.5000 0.5000  8 H 2.45

## Properties
As for the space-group type: No. 225. The total magnetization comes out at 0.4 Bohr magnetons per cell. The final energy comes out at -3.7953 eV per atom.

(4)
A relaxed ReTeHI2 crystal, computed with GGA-PBEsol.

a = 5.5943 Å, b = 5.5943 Å, c = 5.0261 Å
α = 90.00°, β = 90.00°, γ = 90.00°
With the nearest neighbours (Å) after each atom.
Atoms (fractional coordinates):
Re: 0.0000 0.0000 0.0000  2 Te 2.51, 4 I 2.80
Te: 0.0000 0.0000 0.5000  2 Re 2.51
H: 0.5000 0.5000 0.5000  8 I 3.76, 4 Te 3.96
I: 0.0000 0.5000 0.0000  2 Re 2.80
I: 0.5000 0.0000 0.0000  2 Re 2.80

## Properties
As for the space-group type: No. 123. The total magnetization comes out at 2.7 Bohr magnetons per cell. The final energy comes out at -3.7250 eV per atom.

Which formula does entry 3 have? ReH2I

What is the total magnetization in the second record? 0.0 Bohr magnetons per cell

Which value of total magnetization does entry 2 give? 0.0 Bohr magnetons per cell